Entry from Alexandria: an optimized crystal structure of Ho4Mg3Cd4 (PBE).

abc: 3.3672 9.3748 18.1419
angles: 90.00 90.00 90.00
Closest atoms and distances in Å follow each position.
Space group Immm (No. 71)
Symmetry-distinct sites (fractional):
Ho (0.0000, 0.1859, 0.1649) [8 per cell]  4 Cd 3.14, 3 Ho 3.37-3.49
Mg (0.0000, 0.0000, 0.4083) [4 per cell]  6 Cd 2.95-3.09
Mg (0.0000, 0.5000, 0.5000) [2 per cell]  4 Cd 3.18, 2 Mg 3.37
Cd (0.0000, 0.2880, 0.0000) [4 per cell]  6 Mg 3.09-3.18, 2 Ho 3.14, 2 Cd 3.37
Cd (0.0000, 0.5000, 0.2254) [4 per cell]  2 Mg 2.95, 6 Ho 3.14

Calculated values
N(E_F) in states/eV per atom: 0.7716
Volume in Å³/cell: 572.7
Total DFT energy (no corrections) in eV per cell: -54.99
Formation enthalpy at 0 K in meV per atom: -67